Compound: POsSe2S
Source: the Alexandria database
Functional: PBE
Structure: relaxed

Cell: 4.9125 4.9125 4.3271 Å, 90.00 90.00 90.00°
Closest atoms and distances in Å follow each position.
Space group P4/mmm (No. 123)
Inequivalent atoms, fractional coordinates:
P 0.0000 0.0000 0.0000 x1  8 Se 3.27, 4 Os 3.47
Os 0.5000 0.5000 0.0000 x1  2 S 2.16
Se 0.0000 0.5000 0.5000 x2  2 S 2.46
S 0.5000 0.5000 0.5000 x1  2 Os 2.16

V: 20.89 Å³/atom
Fermi-level density of states: 4.76 states/eV/cell
total magnetization: 0.21 μB per cell
uncorrected energy: -4.128 eV per atom
E_form (uncorrected): 1.42 eV per atom